w | Here is a relaxed LuPa2Os crystal from the Alexandria database. Energies are from GGA-PBE.

The space group is No. 123.

Unit cell a=3.649 b=3.649 c=7.220 alpha=90.00 beta=90.00 gamma=90.00
Sites, in units of the cell vectors:
Pa  0.000  0.000  0.805
Pa  0.000  0.000  0.195
Os  0.500  0.500  0.000
Lu  0.500  0.500  0.500



x | Here is a relaxed LuPa2Os crystal from the Alexandria database. Energies are from GGA-PBE.

The space group is No. 166.

Unit cell a=3.582 b=3.582 c=10.183 alpha=79.87 beta=79.87 gamma=60.00
Last column: magnetic moment on the atom in μB.
Sites, in units of the cell vectors:
Pa  0.106  0.106  0.681  -0.47
Pa  0.894  0.894  0.319  -0.47
Os  0.500  0.500  0.500  0.04
Lu  0.000  0.000  0.000  -0.07



Stability ranking, top entry: w; the second entry is 0.355 eV/atom less favorable.



w | Here is a relaxed LuPuOs2 crystal from the Alexandria database. Energies are from GGA-PBE.

The space group is No. 123.

Unit cell a=3.350 b=4.754 c=4.754 alpha=90.00 beta=90.00 gamma=90.00
Last column: magnetic moment on the atom in μB.
Sites, in units of the cell vectors:
Lu  0.500  0.000  0.000  -0.06
Os  0.000  0.000  0.500  0.38
Os  0.000  0.500  0.000  0.38
Pu  0.500  0.500  0.500  -4.47



x | Here is a relaxed LuPuOs2 crystal from the Alexandria database. Energies are from GGA-PBE.

The space group is No. 225.

Unit cell a=4.748 b=4.748 c=4.748 alpha=60.00 beta=60.00 gamma=60.00
Last column: magnetic moment on the atom in μB.
Sites, in units of the cell vectors:
Lu  0.000  0.000  0.000  -0.01
Os  0.250  0.250  0.250  0.44
Os  0.750  0.750  0.750  0.44
Pu  0.500  0.500  0.500  -4.56



Stability ranking, top entry: x; the second entry is 0.015 eV/atom less favorable.



w | Here is a relaxed LuPu2Os crystal from the Alexandria database. Energies are from GGA-PBE.

The space group is No. 123.

Unit cell a=3.285 b=3.285 c=8.850 alpha=90.00 beta=90.00 gamma=90.00
Last column: magnetic moment on the atom in μB.
Sites, in units of the cell vectors:
Lu  0.500  0.500  0.500  -0.28
Os  0.500  0.500  0.000  0.48
Pu  0.000  0.000  0.799  -5.24
Pu  0.000  0.000  0.201  -5.24



x | Here is a relaxed LuPu2Os crystal from the Alexandria database. Energies are from GGA-PBE.

The space group is No. 166.

Unit cell a=3.253 b=3.253 c=10.765 alpha=81.31 beta=81.31 gamma=60.00
Last column: magnetic moment on the atom in μB.
Sites, in units of the cell vectors:
Lu  0.000  0.000  0.000  -0.01
Os  0.500  0.500  0.500  0.57
Pu  0.099  0.099  0.702  -5.30
Pu  0.901  0.901  0.298  -5.30



Stability ranking, top entry: w; the second entry is 0.325 eV/atom less favorable.



w | Here is a relaxed LuScOs crystal from the Alexandria database. Energies are from GGA-PBE.

The space group is No. 216.

Unit cell a=4.591 b=4.591 c=4.591 alpha=60.00 beta=60.00 gamma=60.00
Sites, in units of the cell vectors:
Sc  0.500  0.500  0.500
Lu  0.000  0.000  0.000
Os  0.250  0.250  0.250



x | Here is a relaxed LuScOs crystal from the Alexandria database. Energies are from GGA-PBE.

The space group is No. 107.

Unit cell a=3.284 b=3.284 c=6.485 alpha=104.67 beta=104.67 gamma=90.00
Sites, in units of the cell vectors:
Sc  0.322  0.322  0.645
Lu  0.583  0.583  0.165
Os  0.945  0.945  0.890



Stability ranking, top entry: x; the second entry is 0.082 eV/atom less favorable.



w | Here is a relaxed TbLu2Os crystal from the Alexandria database. Energies are from GGA-PBE.

The space group is No. 123.

Unit cell a=3.355 b=3.355 c=8.953 alpha=90.00 beta=90.00 gamma=90.00
Sites, in units of the cell vectors:
Os  0.500  0.500  0.000
Lu  0.000  0.000  0.820
Lu  0.000  0.000  0.180
Tb  0.500  0.500  0.500



x | Here is a relaxed TbLu2Os crystal from the Alexandria database. Energies are from GGA-PBE.

The space group is No. 166.

Unit cell a=3.350 b=3.350 c=10.975 alpha=81.22 beta=81.22 gamma=60.00
Sites, in units of the cell vectors:
Tb  0.000  0.000  0.000
Lu  0.105  0.105  0.685
Lu  0.895  0.895  0.315
Os  0.500  0.500  0.500



Stability ranking, top entry: w; the second entry is 0.411 eV/atom less favorable.



w | Here is a relaxed Lu2TlOs crystal from the Alexandria database. Energies are from GGA-PBE.

The space group is No. 123.

Unit cell a=3.571 b=4.922 c=4.922 alpha=90.00 beta=90.00 gamma=90.00
Sites, in units of the cell vectors:
Tl  0.500  0.000  0.000
Lu  0.000  0.000  0.500
Lu  0.000  0.500  0.000
Os  0.500  0.500  0.500



x | Here is a relaxed Lu2TlOs crystal from the Alexandria database. Energies are from GGA-PBE.

The space group is No. 225.

Unit cell a=4.963 b=4.963 c=4.963 alpha=60.00 beta=60.00 gamma=60.00
Sites, in units of the cell vectors:
Tl  0.000  0.000  0.000
Lu  0.250  0.250  0.250
Lu  0.750  0.750  0.750
Os  0.500  0.500  0.500



Stability ranking, top entry: x; the second entry is 0.005 eV/atom less favorable.



w | Here is a relaxed TmLu2Os crystal from the Alexandria database. Energies are from GGA-PBE.

The space group is No. 123.

Unit cell a=3.349 b=3.349 c=8.873 alpha=90.00 beta=90.00 gamma=90.00
Sites, in units of the cell vectors:
Tm  0.500  0.500  0.500
Lu  0.000  0.000  0.818
Lu  0.000  0.000  0.182
Os  0.500  0.500  0.000



x | Here is a relaxed TmLu2Os crystal from the Alexandria database. Energies are from GGA-PBE.

The space group is No. 166.

Unit cell a=3.395 b=3.395 c=10.207 alpha=80.43 beta=80.43 gamma=60.00
Sites, in units of the cell vectors:
Tm  0.500  0.500  0.500
Lu  0.267  0.267  0.198
Lu  0.733  0.733  0.802
Os  0.000  0.000  0.000



Stability ranking, top entry: w; the second entry is 0.271 eV/atom less favorable.



w | Here is a relaxed YLuOs crystal from the Alexandria database. Energies are from GGA-PBE.

The space group is No. 216.

Unit cell a=4.742 b=4.742 c=4.742 alpha=60.00 beta=60.00 gamma=60.00
Sites, in units of the cell vectors:
Y  0.500  0.500  0.500
Lu  0.000  0.000  0.000
Os  0.250  0.250  0.250



x | Here is a relaxed YLuOs crystal from the Alexandria database. Energies are from GGA-PBE.

The space group is No. 107.

Unit cell a=3.376 b=3.376 c=6.863 alpha=104.24 beta=104.24 gamma=90.00
Sites, in units of the cell vectors:
Y  0.038  0.038  0.077
Lu  0.292  0.292  0.584
Os  0.670  0.670  0.339



Stability ranking, top entry: x; the second entry is 0.045 eV/atom less favorable.



w | Here is a relaxed LuZr2Os crystal from the Alexandria database. Energies are from GGA-PBE.

The space group is No. 123.

Unit cell a=3.289 b=3.289 c=8.073 alpha=90.00 beta=90.00 gamma=90.00
Last column: magnetic moment on the atom in μB.
Sites, in units of the cell vectors:
Lu  0.500  0.500  0.500  0.33
Os  0.500  0.500  0.000  0.04
Zr  0.000  0.000  0.798  0.29
Zr  0.000  0.000  0.202  0.29



x | Here is a relaxed LuZr2Os crystal from the Alexandria database. Energies are from GGA-PBE.

The space group is No. 225.

Unit cell a=4.849 b=4.849 c=4.849 alpha=60.00 beta=60.00 gamma=60.00
Sites, in units of the cell vectors:
Lu  0.500  0.500  0.500
Os  0.000  0.000  0.000
Zr  0.250  0.250  0.250
Zr  0.750  0.750  0.750



Stability ranking, top entry: w; the second entry is 0.062 eV/atom less favorable.



w | Here is a relaxed Lu2PaPb crystal from the Alexandria database. Energies are from GGA-PBE.

The space group is No. 166.

Unit cell a=3.423 b=3.423 c=10.936 alpha=81.00 beta=81.00 gamma=60.00
Sites, in units of the cell vectors:
Pb  0.000  0.000  0.000
Pa  0.500  0.500  0.500
Lu  0.250  0.250  0.250
Lu  0.750  0.750  0.750



x | Here is a relaxed Lu2PaPb crystal from the Alexandria database. Energies are from GGA-PBE.

The space group is No. 123.

Unit cell a=3.492 b=3.492 c=8.988 alpha=90.00 beta=90.00 gamma=90.00
Last column: magnetic moment on the atom in μB.
Sites, in units of the cell vectors:
Pb  0.500  0.500  0.000  0.00
Pa  0.500  0.500  0.500  0.22
Lu  0.000  0.000  0.755  0.02
Lu  0.000  0.000  0.245  0.02



Stability ranking, top entry: w; the second entry is 0.012 eV/atom less favorable.



w | Here is a relaxed Pm2LuPa crystal from the Alexandria database. Energies are from GGA-PBE.

The space group is No. 225.

Unit cell a=5.612 b=5.612 c=5.612 alpha=60.00 beta=60.00 gamma=60.00
Last column: magnetic moment on the atom in μB.
Sites, in units of the cell vectors:
Pa  0.000  0.000  0.000  -1.49
Lu  0.500  0.500  0.500  -0.32
Pm  0.250  0.250  0.250  -0.35
Pm  0.750  0.750  0.750  -0.35



x | Here is a relaxed Pm2LuPa crystal from the Alexandria database. Energies are from GGA-PBE.

The space group is No. 123.

Unit cell a=4.894 b=4.971 c=4.971 alpha=90.00 beta=90.00 gamma=90.00
Sites, in units of the cell vectors:
Pa  0.500  0.500  0.500
Lu  0.500  0.000  0.000
Pm  0.000  0.000  0.500
Pm  0.000  0.500  0.000



Stability ranking, top entry: x; the second entry is 0.144 eV/atom less favorable.



w | Here is a relaxed PrLuPa crystal from the Alexandria database. Energies are from GGA-PBE.

The space group is No. 156.

Unit cell a=3.435 b=3.435 c=8.642 alpha=90.00 beta=90.00 gamma=120.00
Sites, in units of the cell vectors:
Pr  0.333  0.667  0.678
Pa  0.000  0.000  0.006
Lu  0.667  0.333  0.317



x | Here is a relaxed PrLuPa crystal from the Alexandria database. Energies are from GGA-PBE.

The space group is No. 107.

Unit cell a=3.413 b=3.413 c=8.040 alpha=102.25 beta=102.25 gamma=90.00
Sites, in units of the cell vectors:
Pr  0.991  0.991  0.982
Pa  0.330  0.330  0.660
Lu  0.679  0.679  0.358



Stability ranking, top entry: w; the second entry is 0.023 eV/atom less favorable.